Record 1
DFT (GGA-PBE) results for crystalline RbHfP2S at its relaxed geometry.

Summary:
The value obtained for the offset from the most stable computed form is 2.237 eV per atom. The raw total energy is -3.368 eV/atom. The crystal system is tetragonal. The value obtained for the raw formation energy is 41.646 kcal/mol of atoms. The space group is P4/mmm.

abc: 5.022 5.022 5.185
angles: 90.00 90.00 90.00
Fractional coordinates of all 5 atoms:
Rb  0.000  0.000  0.000
Hf  0.500  0.500  0.500
P  0.000  0.500  0.000
P  0.500  0.000  0.000
S  0.000  0.000  0.500

=====

Record 2
DFT (GGA-PBE) results for crystalline Np2Si3Pt at its relaxed geometry.

Summary:
The value obtained for the offset from the most stable computed form is 0.000 eV per atom. The raw total energy is -8.496 eV/atom. The crystal system is orthorhombic. The value obtained for the raw formation energy is -10.714 kcal/mol of atoms. The space group is Pmm2.

abc: 3.845 4.158 7.125
angles: 90.00 90.00 90.00
Fractional coordinates of all 6 atoms:
Np  0.000  0.000  0.000
Np  0.000  0.500  0.486
Si  0.500  0.000  0.326
Si  0.500  0.000  0.654
Si  0.500  0.500  0.165
Pt  0.500  0.500  0.826

=====

Record 3
DFT (GGA-PBE) results for crystalline Pm4Se3Cl4 at its relaxed geometry.

Summary:
The raw total energy is -5.306 eV/atom. The crystal system is orthorhombic. The value obtained for the raw formation energy is -45.113 kcal/mol of atoms. The space group is Immm.

abc: 9.688 9.688 9.688
angles: 157.44 128.42 56.98
Fractional coordinates of all 11 atoms:
Pm  0.230  0.000  0.230
Pm  0.231  0.231  0.000
Pm  0.769  0.769  0.000
Pm  0.770  0.000  0.770
Se  0.095  0.595  0.500
Se  0.500  0.500  0.000
Se  0.905  0.405  0.500
Cl  0.141  0.826  0.315
Cl  0.488  0.174  0.315
Cl  0.512  0.826  0.685
Cl  0.859  0.174  0.685

=====

Record 4
DFT (GGA-PBE) results for crystalline VCoOs3 at its relaxed geometry.

Summary:
The value obtained for the offset from the most stable computed form is 0.215 eV per atom. The raw total energy is -8.070 eV/atom. The energy of formation comes out at 1913 meV/atom. The crystal system is cubic. The space group is Pm-3m.

abc: 4.446 4.446 4.446
angles: 90.00 90.00 90.00
Fractional coordinates of all 5 atoms:
V  0.000  0.000  0.000
Co  0.500  0.500  0.500
Os  0.000  0.000  0.500
Os  0.000  0.500  0.000
Os  0.500  0.000  0.000

=====

Record 5
DFT (GGA-PBE) results for crystalline EuScHgSb at its relaxed geometry.

Summary:
The raw total energy is -5.820 eV/atom. The crystal system is cubic. The value obtained for the raw formation energy is -12.976 kcal/mol of atoms. The space group is F-43m.

abc: 5.275 5.275 5.275
angles: 60.00 60.00 60.00
Fractional coordinates of all 4 atoms:
Eu  0.000  0.000  0.000
Sc  0.500  0.500  0.500
Hg  0.250  0.250  0.250
Sb  0.750  0.750  0.750

=====

Record 6
DFT (GGA-PBE) results for crystalline YCr4W at its relaxed geometry.

Summary:
The raw total energy is -9.400 eV/atom. The energy of formation comes out at 251 meV/atom. The crystal system is cubic. The space group is F-43m.

abc: 5.004 5.004 5.004
angles: 60.00 60.00 60.00
Fractional coordinates of all 6 atoms:
Y  0.000  0.000  0.000
Cr  0.127  0.624  0.624
Cr  0.624  0.127  0.624
Cr  0.624  0.624  0.127
Cr  0.624  0.624  0.624
W  0.250  0.250  0.250

=====

Record 7
DFT (GGA-PBE) results for crystalline Si2BAsPd at its relaxed geometry.

Summary:
The value obtained for the offset from the most stable computed form is 0.304 eV per atom. The raw total energy is -4.688 eV/atom. The crystal system is tetragonal. The value obtained for the raw formation energy is 18.098 kcal/mol of atoms. The space group is P4/mmm.

abc: 4.770 4.770 3.961
angles: 90.00 90.00 90.00
Fractional coordinates of all 5 atoms:
Si  0.000  0.500  0.000
Si  0.500  0.000  0.000
B  0.000  0.000  0.500
As  0.500  0.500  0.500
Pd  0.000  0.000  0.000

=====

Record 8
DFT (GGA-PBE) results for crystalline VMoPt at its relaxed geometry.

Summary:
The value obtained for the offset from the most stable computed form is 0.000 eV per atom. The raw total energy is -8.944 eV/atom. The energy of formation comes out at -280 meV/atom. The crystal system is monoclinic. The space group is Cm.

abc: 4.923 4.923 5.460
angles: 114.16 114.16 49.10
Fractional coordinates of all 6 atoms:
V  0.000  0.000  0.000
V  0.687  0.687  0.834
Mo  0.003  0.003  0.506
Mo  0.312  0.312  0.158
Pt  0.351  0.351  0.678
Pt  0.658  0.658  0.329

=====

Record 9
DFT (GGA-PBE) results for crystalline Tb2GaAu at its relaxed geometry.

Summary:
The raw total energy is -4.599 eV/atom. The energy of formation comes out at -708 meV/atom. The crystal system is orthorhombic. The space group is Pmma.

abc: 5.078 3.597 10.244
angles: 90.00 90.00 90.00
Fractional coordinates of all 8 atoms:
Tb  0.250  0.000  0.117
Tb  0.250  0.000  0.621
Tb  0.750  0.000  0.379
Tb  0.750  0.000  0.883
Ga  0.250  0.500  0.866
Ga  0.750  0.500  0.134
Au  0.250  0.500  0.355
Au  0.750  0.500  0.645

=====

Record 10
DFT (GGA-PBE) results for crystalline Ca2CrCo at its relaxed geometry.

Summary:
The value obtained for the offset from the most stable computed form is 0.204 eV per atom. The raw total energy is -4.594 eV/atom. The energy of formation comes out at 589 meV/atom. The crystal system is tetragonal. The space group is P4/mmm.

abc: 3.558 3.558 7.362
angles: 90.00 90.00 90.00
Fractional coordinates of all 4 atoms:
Ca  0.000  0.000  0.220
Ca  0.000  0.000  0.780
Cr  0.500  0.500  0.500
Co  0.500  0.500  0.000

=====

Record 11
DFT (GGA-PBE) results for crystalline Cr3GeP at its relaxed geometry.

Summary:
The value obtained for the offset from the most stable computed form is 0.474 eV per atom. The raw total energy is -6.782 eV/atom. The energy of formation comes out at 997 meV/atom. The crystal system is cubic. The space group is Pm-3m.

abc: 4.676 4.676 4.676
angles: 90.00 90.00 90.00
Fractional coordinates of all 5 atoms:
Cr  0.000  0.000  0.500
Cr  0.000  0.500  0.000
Cr  0.500  0.000  0.000
Ge  0.000  0.000  0.000
P  0.500  0.500  0.500

=====

Record 12
DFT (GGA-PBE) results for crystalline DyCuSbRh at its relaxed geometry.

Summary:
The raw total energy is -5.592 eV/atom. The crystal system is cubic. The value obtained for the raw formation energy is -12.661 kcal/mol of atoms. The space group is F-43m.

abc: 4.710 4.710 4.710
angles: 60.00 60.00 60.00
Fractional coordinates of all 4 atoms:
Dy  0.000  0.000  0.000
Cu  0.250  0.250  0.250
Sb  0.500  0.500  0.500
Rh  0.750  0.750  0.750

=====

Record 13
DFT (GGA-PBE) results for crystalline La2Pm3Ga2 at its relaxed geometry.

Summary:
The raw total energy is -4.608 eV/atom. The energy of formation comes out at -299 meV/atom. The crystal system is monoclinic. The space group is C2/m.

abc: 6.600 6.600 8.917
angles: 112.26 112.26 37.71
Fractional coordinates of all 7 atoms:
La  0.154  0.154  0.315
La  0.846  0.846  0.685
Pm  0.376  0.376  0.058
Pm  0.500  0.500  0.500
Pm  0.624  0.624  0.942
Ga  0.167  0.167  0.717
Ga  0.833  0.833  0.283

=====

Record 14
DFT (GGA-PBE) results for crystalline La2TaCrB at its relaxed geometry.

Summary:
The raw total energy is -6.109 eV/atom. The energy of formation comes out at 1493 meV/atom. The crystal system is tetragonal. The space group is P4/mmm.

abc: 5.609 5.609 4.602
angles: 90.00 90.00 90.00
Fractional coordinates of all 5 atoms:
La  0.000  0.500  0.000
La  0.500  0.000  0.000
Ta  0.000  0.000  0.000
Cr  0.000  0.000  0.500
B  0.500  0.500  0.500

=====

Record 15
DFT (GGA-PBE) results for crystalline Ca3LaPa2N6 at its relaxed geometry.

Summary:
The raw total energy is -8.070 eV/atom. The crystal system is monoclinic. The value obtained for the raw formation energy is -32.606 kcal/mol of atoms. The space group is C2/m.

abc: 7.943 7.943 7.116
angles: 101.46 101.46 26.22
Fractional coordinates of all 12 atoms:
Ca  0.000  0.000  0.000
Ca  0.332  0.332  0.666
Ca  0.668  0.668  0.334
La  0.000  0.000  0.500
Pa  0.334  0.334  0.167
Pa  0.666  0.666  0.833
N  0.169  0.169  0.618
N  0.178  0.178  0.064
N  0.481  0.481  0.237
N  0.519  0.519  0.763
N  0.822  0.822  0.936
N  0.831  0.831  0.382

=====

Record 16
DFT (GGA-PBE) results for crystalline HoErPt at its relaxed geometry.

Summary:
The value obtained for the offset from the most stable computed form is 0.062 eV per atom. The raw total energy is -5.899 eV/atom. The energy of formation comes out at -838 meV/atom. The crystal system is orthorhombic. The space group is Cmcm.

abc: 8.109 8.109 5.092
angles: 90.00 90.00 154.36
Fractional coordinates of all 6 atoms:
Ho  0.073  0.927  0.750
Ho  0.927  0.073  0.250
Er  0.218  0.782  0.250
Er  0.782  0.218  0.750
Pt  0.424  0.576  0.750
Pt  0.576  0.424  0.250

=====

Record 17
DFT (GGA-PBE) results for crystalline Ag4Ru5 at its relaxed geometry.

Summary:
The raw total energy is -5.898 eV/atom. The energy of formation comes out at 522 meV/atom. The crystal system is tetragonal. The space group is I4/mmm.

abc: 6.265 6.265 6.265
angles: 95.90 95.90 142.61
Fractional coordinates of all 9 atoms:
Ag  0.000  0.329  0.329
Ag  0.000  0.671  0.671
Ag  0.329  0.000  0.329
Ag  0.671  0.000  0.671
Ru  0.000  0.000  0.000
Ru  0.349  0.349  0.698
Ru  0.349  0.651  0.000
Ru  0.651  0.349  0.000
Ru  0.651  0.651  0.302

=====

Record 18
DFT (GGA-PBE) results for crystalline Ce2SiTe at its relaxed geometry.

Summary:
The value obtained for the offset from the most stable computed form is 0.037 eV per atom. The raw total energy is -6.062 eV/atom. The crystal system is hexagonal. The value obtained for the raw formation energy is -21.999 kcal/mol of atoms. The space group is P6_3/mmc.

abc: 4.287 4.287 14.883
angles: 90.00 90.00 120.00
Fractional coordinates of all 8 atoms:
Ce  0.333  0.667  0.109
Ce  0.333  0.667  0.391
Ce  0.667  0.333  0.609
Ce  0.667  0.333  0.891
Si  0.000  0.000  0.000
Si  0.000  0.000  0.500
Te  0.333  0.667  0.750
Te  0.667  0.333  0.250

=====

Record 19
DFT (GGA-PBE) results for crystalline In10Sn4Bi at its relaxed geometry.

Summary:
The raw total energy is -3.086 eV/atom. The energy of formation comes out at 66 meV/atom. The crystal system is tetragonal. The space group is I4/m.

abc: 8.875 8.875 8.875
angles: 100.24 100.24 130.12
Fractional coordinates of all 15 atoms:
In  0.038  0.140  0.694
In  0.140  0.447  0.102
In  0.250  0.750  0.500
In  0.344  0.038  0.898
In  0.447  0.344  0.306
In  0.553  0.656  0.694
In  0.656  0.962  0.102
In  0.750  0.250  0.500
In  0.860  0.553  0.898
In  0.962  0.860  0.306
Sn  0.100  0.302  0.402
Sn  0.302  0.900  0.203
Sn  0.698  0.100  0.797
Sn  0.900  0.698  0.598
Bi  0.500  0.500  0.000

=====

Record 20
DFT (GGA-PBE) results for crystalline CdHgAu3 at its relaxed geometry.

Summary:
The value obtained for the offset from the most stable computed form is 0.644 eV per atom. The raw total energy is -1.604 eV/atom. The energy of formation comes out at 606 meV/atom. The crystal system is cubic. The space group is Pm-3m.

abc: 5.237 5.237 5.237
angles: 90.00 90.00 90.00
Fractional coordinates of all 5 atoms:
Cd  0.000  0.000  0.000
Hg  0.500  0.500  0.500
Au  0.000  0.500  0.500
Au  0.500  0.000  0.500
Au  0.500  0.500  0.000